(1)
Here is a geometry-optimized LaTmAg3 structure from Alexandria via LeMat-Bulk. Energies are from GGA-PBE.

Cell: 14.124 14.124 4.831 Å, 90.00 90.00 165.27°
Sites, in units of the cell vectors:
La  0.076  0.924  0.750
La  0.924  0.076  0.250
Tm  0.210  0.790  0.250
Tm  0.790  0.210  0.750
Ag  0.318  0.682  0.250
Ag  0.375  0.625  0.750
Ag  0.475  0.525  0.750
Ag  0.525  0.475  0.250
Ag  0.625  0.375  0.250
Ag  0.682  0.318  0.750

## Properties
**Formation enthalpy at 0 K**: -27.0 kJ/mol of atoms
**Space group**: Cmcm
**Total moment**: 0.0 μB per formula unit


(2)
Here is a geometry-optimized La3TmAg2 structure from Alexandria via LeMat-Bulk. Energies are from GGA-PBE.

Cell: 5.338 9.596 6.973 Å, 90.00 90.00 90.00°
Sites, in units of the cell vectors:
La  0.000  0.060  0.000
La  0.000  0.338  0.332
La  0.000  0.662  0.832
La  0.000  0.940  0.500
La  0.500  0.171  0.666
La  0.500  0.829  0.166
Tm  0.500  0.445  0.008
Tm  0.500  0.555  0.508
Ag  0.000  0.350  0.785
Ag  0.000  0.650  0.285
Ag  0.500  0.164  0.219
Ag  0.500  0.836  0.719

## Properties
**Formation enthalpy at 0 K**: -14.9 kJ/mol of atoms
**Space group**: Pmc2_1
**Total moment**: 0.0 μB per formula unit